*1*
DFT (GGA-PBEsol) results for an optimized crystal structure of BeAl2Te.

volume: 76.9 Å³/cell
calculated density: 4.1 g/cm3

CIF file:
```
data_BeAl2Te
_chemical_formula_sum 'Be1 Al2 Te1'
_cell_length_a 3.6592
_cell_length_b 3.6592
_cell_length_c 6.9600
_cell_angle_alpha 74.76
_cell_angle_beta 74.76
_cell_angle_gamma 60.00
_space_group_name_H-M_alt 'P 1'
_space_group_IT_number 1
loop_
_space_group_symop_operation_xyz
'x,y,z'
loop_
_atom_site_label
_atom_site_type_symbol
_atom_site_fract_x
_atom_site_fract_y
_atom_site_fract_z
_atom_site_occupancy
Be1 Be 0.5015 0.5015 0.4954 1
Te1 Te 0.2332 0.2332 0.3005 1
Al1 Al 0.0043 0.0043 0.9871 1
Al2 Al 0.7610 0.7610 0.7170 1
```

*2*
DFT (GGA-PBEsol) results for an optimized crystal structure of BeAl2Te.

volume: 73.7 Å³/cell
calculated density: 4.3 g/cm3

CIF file:
```
data_BeAl2Te
_chemical_formula_sum 'Be1 Al2 Te1'
_cell_length_a 3.9022
_cell_length_b 3.9128
_cell_length_c 6.0058
_cell_angle_alpha 108.96
_cell_angle_beta 90.00
_cell_angle_gamma 119.91
_space_group_name_H-M_alt 'P 1'
_space_group_IT_number 1
loop_
_space_group_symop_operation_xyz
'x,y,z'
loop_
_atom_site_label
_atom_site_type_symbol
_atom_site_fract_x
_atom_site_fract_y
_atom_site_fract_z
_atom_site_occupancy
Be1 Be 0.0000 0.0000 0.5000 1
Te1 Te 0.5000 0.0000 0.0000 1
Al1 Al 0.7182 0.4365 0.6546 1
Al2 Al 0.2818 0.5635 0.3454 1
```

*3*
DFT (GGA-PBEsol) results for an optimized crystal structure of BeAl2Te.

volume: 74.2 Å³/cell
calculated density: 4.3 g/cm3

CIF file:
```
data_BeAl2Te
_chemical_formula_sum 'Be1 Al2 Te1'
_cell_length_a 3.5220
_cell_length_b 5.1489
_cell_length_c 5.1489
_cell_angle_alpha 59.92
_cell_angle_beta 70.00
_cell_angle_gamma 70.00
_space_group_name_H-M_alt 'P 1'
_space_group_IT_number 1
loop_
_space_group_symop_operation_xyz
'x,y,z'
loop_
_atom_site_label
_atom_site_type_symbol
_atom_site_fract_x
_atom_site_fract_y
_atom_site_fract_z
_atom_site_occupancy
Be1 Be 0.4995 0.5005 0.5005 1
Te1 Te 0.2141 0.2859 0.2859 1
Al1 Al 0.0071 0.9929 0.9929 1
Al2 Al 0.7794 0.7206 0.7206 1
```

Which of them is the least stable? Correct choice: *3*.

*1*
DFT (GGA-PBEsol) results for an optimized crystal structure of Be2AlTe.

volume: 64.6 Å³/cell
calculated density: 4.4 g/cm3

CIF file:
```
data_Be2AlTe
_chemical_formula_sum 'Be2 Al1 Te1'
_cell_length_a 4.5041
_cell_length_b 4.5041
_cell_length_c 4.5041
_cell_angle_alpha 60.00
_cell_angle_beta 60.00
_cell_angle_gamma 60.00
_space_group_name_H-M_alt 'P 1'
_space_group_IT_number 1
loop_
_space_group_symop_operation_xyz
'x,y,z'
loop_
_atom_site_label
_atom_site_type_symbol
_atom_site_fract_x
_atom_site_fract_y
_atom_site_fract_z
_atom_site_occupancy
Be1 Be 0.0000 0.0000 0.0000 1
Be2 Be 0.7500 0.7500 0.7500 1
Te1 Te 0.2500 0.2500 0.2500 1
Al1 Al 0.5000 0.5000 0.5000 1
```

*2*
DFT (GGA-PBEsol) results for an optimized crystal structure of Be2AlTe.

volume: 68.0 Å³/cell
calculated density: 4.2 g/cm3

CIF file:
```
data_Be2AlTe
_chemical_formula_sum 'Be2 Al1 Te1'
_cell_length_a 3.4580
_cell_length_b 3.5553
_cell_length_c 5.5323
_cell_angle_alpha 90.00
_cell_angle_beta 90.04
_cell_angle_gamma 90.00
_space_group_name_H-M_alt 'P 1'
_space_group_IT_number 1
loop_
_space_group_symop_operation_xyz
'x,y,z'
loop_
_atom_site_label
_atom_site_type_symbol
_atom_site_fract_x
_atom_site_fract_y
_atom_site_fract_z
_atom_site_occupancy
Be1 Be 0.5003 0.0000 0.6844 1
Be2 Be 0.4997 0.0000 0.3156 1
Te1 Te 0.5000 0.5000 0.0000 1
Al1 Al 0.0000 0.5000 0.5000 1
```

Which of them is the least stable? Correct choice: *1*.

*1*
DFT (GGA-PBEsol) results for an optimized crystal structure of BeAlTe.

volume: 59.4 Å³/cell
calculated density: 4.6 g/cm3

CIF file:
```
data_BeAlTe
_chemical_formula_sum 'Be1 Al1 Te1'
_cell_length_a 3.4026
_cell_length_b 3.4026
_cell_length_c 5.8831
_cell_angle_alpha 100.13
_cell_angle_beta 100.13
_cell_angle_gamma 113.08
_space_group_name_H-M_alt 'P 1'
_space_group_IT_number 1
loop_
_space_group_symop_operation_xyz
'x,y,z'
loop_
_atom_site_label
_atom_site_type_symbol
_atom_site_fract_x
_atom_site_fract_y
_atom_site_fract_z
_atom_site_occupancy
Be1 Be 0.3324 0.3324 0.6648 1
Te1 Te 0.6937 0.6937 0.3874 1
Al1 Al 0.9739 0.9739 0.9478 1
```

*2*
DFT (GGA-PBEsol) results for an optimized crystal structure of BeAlTe.

volume: 64.0 Å³/cell
calculated density: 4.2 g/cm3

CIF file:
```
data_BeAlTe
_chemical_formula_sum 'Be1 Al1 Te1'
_cell_length_a 4.4897
_cell_length_b 4.4897
_cell_length_c 4.4897
_cell_angle_alpha 60.00
_cell_angle_beta 60.00
_cell_angle_gamma 60.00
_space_group_name_H-M_alt 'P 1'
_space_group_IT_number 1
loop_
_space_group_symop_operation_xyz
'x,y,z'
loop_
_atom_site_label
_atom_site_type_symbol
_atom_site_fract_x
_atom_site_fract_y
_atom_site_fract_z
_atom_site_occupancy
Be1 Be 0.0000 0.0000 0.0000 1
Te1 Te 0.5000 0.5000 0.5000 1
Al1 Al 0.2500 0.2500 0.2500 1
```

Which of them is the least stable? Correct choice: *2*.

*1*
DFT (GGA-PBEsol) results for an optimized crystal structure of Y2BeAl.

volume: 93.3 Å³/cell
calculated density: 3.8 g/cm3

CIF file:
```
data_Y2BeAl
_chemical_formula_sum 'Y2 Be1 Al1'
_cell_length_a 3.5062
_cell_length_b 4.7524
_cell_length_c 6.1892
_cell_angle_alpha 102.23
_cell_angle_beta 90.00
_cell_angle_gamma 111.65
_space_group_name_H-M_alt 'P 1'
_space_group_IT_number 1
loop_
_space_group_symop_operation_xyz
'x,y,z'
loop_
_atom_site_label
_atom_site_type_symbol
_atom_site_fract_x
_atom_site_fract_y
_atom_site_fract_z
_atom_site_occupancy
Y1 Y 0.7432 0.4863 0.7339 1
Y2 Y 0.2568 0.5137 0.2661 1
Be1 Be 0.0000 0.0000 0.5000 1
Al1 Al 0.5000 0.0000 0.0000 1
```

*2*
DFT (GGA-PBEsol) results for an optimized crystal structure of Y2BeAl.

volume: 93.0 Å³/cell
calculated density: 3.8 g/cm3

CIF file:
```
data_Y2BeAl
_chemical_formula_sum 'Y2 Be1 Al1'
_cell_length_a 3.5356
_cell_length_b 3.5356
_cell_length_c 8.8321
_cell_angle_alpha 78.45
_cell_angle_beta 78.45
_cell_angle_gamma 60.00
_space_group_name_H-M_alt 'P 1'
_space_group_IT_number 1
loop_
_space_group_symop_operation_xyz
'x,y,z'
loop_
_atom_site_label
_atom_site_type_symbol
_atom_site_fract_x
_atom_site_fract_y
_atom_site_fract_z
_atom_site_occupancy
Y1 Y 0.2569 0.2569 0.2292 1
Y2 Y 0.7431 0.7431 0.7708 1
Be1 Be 0.0000 0.0000 0.0000 1
Al1 Al 0.5000 0.5000 0.5000 1
```

Which of them is the least stable? Correct choice: *1*.

*1*
DFT (GGA-PBEsol) results for an optimized crystal structure of Be2AlZn2.

volume: 123.9 Å³/cell
calculated density: 4.7 g/cm3

CIF file:
```
data_Be2AlZn2
_chemical_formula_sum 'Be4 Al2 Zn4'
_cell_length_a 2.5121
_cell_length_b 7.0235
_cell_length_c 7.0235
_cell_angle_alpha 90.00
_cell_angle_beta 90.00
_cell_angle_gamma 90.00
_space_group_name_H-M_alt 'P 1'
_space_group_IT_number 1
loop_
_space_group_symop_operation_xyz
'x,y,z'
loop_
_atom_site_label
_atom_site_type_symbol
_atom_site_fract_x
_atom_site_fract_y
_atom_site_fract_z
_atom_site_occupancy
Be1 Be 0.0000 0.3858 0.8858 1
Be2 Be 0.0000 0.8858 0.6142 1
Be3 Be 0.0000 0.6142 0.1142 1
Be4 Be 0.0000 0.1142 0.3858 1
Zn1 Zn 0.5000 0.1817 0.6817 1
Zn2 Zn 0.5000 0.6817 0.8183 1
Zn3 Zn 0.5000 0.8183 0.3183 1
Zn4 Zn 0.5000 0.3183 0.1817 1
Al1 Al 0.0000 0.0000 0.0000 1
Al2 Al 0.0000 0.5000 0.5000 1
```

*2*
DFT (GGA-PBEsol) results for an optimized crystal structure of Be2AlZn2.

volume: 64.2 Å³/cell
calculated density: 4.5 g/cm3

CIF file:
```
data_Be2AlZn2
_chemical_formula_sum 'Be2 Al1 Zn2'
_cell_length_a 3.3626
_cell_length_b 3.3626
_cell_length_c 6.1581
_cell_angle_alpha 105.84
_cell_angle_beta 105.84
_cell_angle_gamma 90.00
_space_group_name_H-M_alt 'P 1'
_space_group_IT_number 1
loop_
_space_group_symop_operation_xyz
'x,y,z'
loop_
_atom_site_label
_atom_site_type_symbol
_atom_site_fract_x
_atom_site_fract_y
_atom_site_fract_z
_atom_site_occupancy
Be1 Be 0.2500 0.7500 0.5000 1
Be2 Be 0.7500 0.2500 0.5000 1
Zn1 Zn 0.3916 0.3916 0.7831 1
Zn2 Zn 0.6084 0.6084 0.2169 1
Al1 Al 0.0000 0.0000 0.0000 1
```

Which of them is the least stable? Correct choice: *2*.

*1*
DFT (GGA-PBEsol) results for an optimized crystal structure of Li2AlBiTe.

volume: 131.4 Å³/cell
calculated density: 4.8 g/cm3

CIF file:
```
data_Li2AlBiTe
_chemical_formula_sum 'Li2 Al1 Bi1 Te1'
_cell_length_a 4.8622
_cell_length_b 4.8622
_cell_length_c 5.5593
_cell_angle_alpha 90.00
_cell_angle_beta 90.00
_cell_angle_gamma 90.00
_space_group_name_H-M_alt 'P 1'
_space_group_IT_number 1
loop_
_space_group_symop_operation_xyz
'x,y,z'
loop_
_atom_site_label
_atom_site_type_symbol
_atom_site_fract_x
_atom_site_fract_y
_atom_site_fract_z
_atom_site_occupancy
Al1 Al 0.0000 0.0000 0.5000 1
Te1 Te 0.0000 0.0000 0.0000 1
Bi1 Bi 0.5000 0.5000 0.5000 1
Li1 Li 0.0000 0.5000 0.0000 1
Li2 Li 0.5000 0.0000 0.0000 1
```

*2*
DFT (GGA-PBEsol) results for an optimized crystal structure of Li2AlBiTe.

volume: 149.7 Å³/cell
calculated density: 4.2 g/cm3

CIF file:
```
data_Li2AlBiTe
_chemical_formula_sum 'Li2 Al1 Bi1 Te1'
_cell_length_a 4.8904
_cell_length_b 4.8904
_cell_length_c 6.2609
_cell_angle_alpha 90.00
_cell_angle_beta 90.00
_cell_angle_gamma 90.00
_space_group_name_H-M_alt 'P 1'
_space_group_IT_number 1
loop_
_space_group_symop_operation_xyz
'x,y,z'
loop_
_atom_site_label
_atom_site_type_symbol
_atom_site_fract_x
_atom_site_fract_y
_atom_site_fract_z
_atom_site_occupancy
Te1 Te 0.0000 0.0000 0.0000 1
Li1 Li 0.0000 0.5000 0.0000 1
Li2 Li 0.5000 0.0000 0.0000 1
Al1 Al 0.5000 0.5000 0.5000 1
Bi1 Bi 0.0000 0.0000 0.5000 1
```

Which of them is the least stable? Correct choice: *2*.

*1*
DFT (GGA-PBEsol) results for an optimized crystal structure of AlBiP2O.

volume: 86.3 Å³/cell
calculated density: 6.0 g/cm3

CIF file:
```
data_AlBiP2O
_chemical_formula_sum 'Al1 Bi1 P2 O1'
_cell_length_a 3.4698
_cell_length_b 4.9879
_cell_length_c 4.9879
_cell_angle_alpha 90.00
_cell_angle_beta 90.00
_cell_angle_gamma 90.00
_space_group_name_H-M_alt 'P 1'
_space_group_IT_number 1
loop_
_space_group_symop_operation_xyz
'x,y,z'
loop_
_atom_site_label
_atom_site_type_symbol
_atom_site_fract_x
_atom_site_fract_y
_atom_site_fract_z
_atom_site_occupancy
P1 P 0.0000 0.0000 0.5000 1
P2 P 0.0000 0.5000 0.0000 1
Bi1 Bi 0.5000 0.5000 0.5000 1
O1 O 0.5000 0.0000 0.0000 1
Al1 Al 0.0000 0.0000 0.0000 1
```

*2*
DFT (GGA-PBEsol) results for an optimized crystal structure of AlBiP2O.

volume: 85.5 Å³/cell
calculated density: 6.1 g/cm3

CIF file:
```
data_AlBiP2O
_chemical_formula_sum 'Al1 Bi1 P2 O1'
_cell_length_a 4.2587
_cell_length_b 4.2587
_cell_length_c 4.7164
_cell_angle_alpha 90.00
_cell_angle_beta 90.00
_cell_angle_gamma 90.00
_space_group_name_H-M_alt 'P 1'
_space_group_IT_number 1
loop_
_space_group_symop_operation_xyz
'x,y,z'
loop_
_atom_site_label
_atom_site_type_symbol
_atom_site_fract_x
_atom_site_fract_y
_atom_site_fract_z
_atom_site_occupancy
P1 P 0.0000 0.5000 0.0000 1
P2 P 0.5000 0.0000 0.0000 1
Bi1 Bi 0.0000 0.0000 0.5000 1
O1 O 0.0000 0.0000 0.0000 1
Al1 Al 0.5000 0.5000 0.5000 1
```

Which of them is the least stable? Correct choice: *2*.

*1*
DFT (GGA-PBEsol) results for an optimized crystal structure of TaAl3Bi.

volume: 139.0 Å³/cell
calculated density: 5.6 g/cm3

CIF file:
```
data_TaAl3Bi
_chemical_formula_sum 'Ta1 Al3 Bi1'
_cell_length_a 5.1803
_cell_length_b 5.1803
_cell_length_c 5.1803
_cell_angle_alpha 90.00
_cell_angle_beta 90.00
_cell_angle_gamma 90.00
_space_group_name_H-M_alt 'P 1'
_space_group_IT_number 1
loop_
_space_group_symop_operation_xyz
'x,y,z'
loop_
_atom_site_label
_atom_site_type_symbol
_atom_site_fract_x
_atom_site_fract_y
_atom_site_fract_z
_atom_site_occupancy
Al1 Al 0.0000 0.5000 0.0000 1
Al2 Al 0.0000 0.0000 0.5000 1
Al3 Al 0.5000 0.0000 0.0000 1
Bi1 Bi 0.0000 0.0000 0.0000 1
Ta1 Ta 0.5000 0.5000 0.5000 1
```

*2*
DFT (GGA-PBEsol) results for an optimized crystal structure of TaAl3Bi.

volume: 125.2 Å³/cell
calculated density: 6.2 g/cm3

CIF file:
```
data_TaAl3Bi
_chemical_formula_sum 'Ta1 Al3 Bi1'
_cell_length_a 5.0026
_cell_length_b 5.0026
_cell_length_c 5.0026
_cell_angle_alpha 90.00
_cell_angle_beta 90.00
_cell_angle_gamma 90.00
_space_group_name_H-M_alt 'P 1'
_space_group_IT_number 1
loop_
_space_group_symop_operation_xyz
'x,y,z'
loop_
_atom_site_label
_atom_site_type_symbol
_atom_site_fract_x
_atom_site_fract_y
_atom_site_fract_z
_atom_site_occupancy
Al1 Al 0.0000 0.5000 0.0000 1
Al2 Al 0.0000 0.0000 0.5000 1
Al3 Al 0.5000 0.0000 0.0000 1
Bi1 Bi 0.5000 0.5000 0.5000 1
Ta1 Ta 0.0000 0.0000 0.0000 1
```

Which of them is the least stable? Correct choice: *1*.